Entry 1:
# PBE-GGA HfCrGa2Os, optimized geometry
# Total moment   0.938 μB/atom
# Calculated total energy   -34.3 eV/cell
# Density of states at the Fermi level   2.01 states/eV per cell
data_HfCrGa2Os
_chemical_formula_sum 'Hf1 Cr1 Ga2 Os1'
_symmetry_space_group_name_H-M 'P 1'
_symmetry_Int_Tables_number 1
_cell_length_a 4.787
_cell_length_b 4.787
_cell_length_c 4.990
_cell_angle_alpha 90.00
_cell_angle_beta 90.00
_cell_angle_gamma 90.00
loop_
_symmetry_equiv_pos_as_xyz
'x,y,z'
loop_
_atom_site_label
_atom_site_type_symbol
_atom_site_fract_x
_atom_site_fract_y
_atom_site_fract_z
_atom_site_occupancy
Hf1 Hf 0.000 0.000 0.000 1
Cr1 Cr 0.500 0.500 0.000 1
Ga1 Ga 0.000 0.500 0.500 1
Ga2 Ga 0.500 0.000 0.500 1
Os1 Os 0.000 0.000 0.500 1


Entry 2:
# PBE-GGA RbHf2CrGa, optimized geometry
# Total moment   0.179 μB/atom
# Calculated total energy   -27.4 eV/cell
# Density of states at the Fermi level   6.63 states/eV per cell
data_RbHf2CrGa
_chemical_formula_sum 'Rb1 Hf2 Cr1 Ga1'
_symmetry_space_group_name_H-M 'P 1'
_symmetry_Int_Tables_number 1
_cell_length_a 4.859
_cell_length_b 4.859
_cell_length_c 6.203
_cell_angle_alpha 90.00
_cell_angle_beta 90.00
_cell_angle_gamma 90.00
loop_
_symmetry_equiv_pos_as_xyz
'x,y,z'
loop_
_atom_site_label
_atom_site_type_symbol
_atom_site_fract_x
_atom_site_fract_y
_atom_site_fract_z
_atom_site_occupancy
Rb1 Rb 0.000 0.000 0.000 1
Hf1 Hf 0.000 0.500 0.500 1
Hf2 Hf 0.500 0.000 0.500 1
Cr1 Cr 0.000 0.000 0.500 1
Ga1 Ga 0.500 0.500 0.000 1